No. 1
# CsOF3 | Alexandria | PBE | relaxed
# * Fermi-level density of states: 0.0 states/eV/cell
# * symmetry: R3m, No. 160
# * size of the total moment: 0.00 μB/cell
# * formation energy from raw total energies: -1.05 eV per atom
# * crystal system: trigonal
# * ΔE to the lowest computed polymorph: 168 meV per atom
data_CsOF3
_chemical_formula_sum 'Cs1 O1 F3'
_cell_length_a 4.647
_cell_length_b 4.647
_cell_length_c 4.647
_cell_angle_alpha 86.65
_cell_angle_beta 86.65
_cell_angle_gamma 86.65
_symmetry_space_group_name_H-M 'P 1'
_symmetry_Int_Tables_number 1
_symmetry_space_group_name_Hall 'P 1'
loop_
_atom_site_label
_atom_site_fract_x
_atom_site_fract_y
_atom_site_fract_z
Cs1 0.000 0.000 0.000
O1 0.614 0.614 0.614
F1 0.467 0.467 0.921
F2 0.467 0.921 0.467
F3 0.921 0.467 0.467

No. 2
# Ta2IrPt2 | Alexandria | PBE | relaxed
# * energy of formation: -2.07 eV per formula unit
# * Fermi-level density of states: 7.4 states/eV/cell
# * symmetry: P4/mbm, No. 127
# * size of the total moment: 0.00 μB/cell
# * crystal system: tetragonal
# * ΔE to the lowest computed polymorph: 137 meV per atom
data_Ta2IrPt2
_chemical_formula_sum 'Ta4 Ir2 Pt4'
_cell_length_a 7.209
_cell_length_b 7.209
_cell_length_c 3.263
_cell_angle_alpha 90.00
_cell_angle_beta 90.00
_cell_angle_gamma 90.00
_symmetry_space_group_name_H-M 'P 1'
_symmetry_Int_Tables_number 1
_symmetry_space_group_name_Hall 'P 1'
loop_
_atom_site_label
_atom_site_fract_x
_atom_site_fract_y
_atom_site_fract_z
Ta1 0.173 0.327 0.000
Ta2 0.327 0.827 0.000
Ta3 0.673 0.173 0.000
Ta4 0.827 0.673 0.000
Ir1 0.000 0.000 0.500
Ir2 0.500 0.500 0.500
Pt1 0.131 0.631 0.500
Pt2 0.369 0.131 0.500
Pt3 0.631 0.869 0.500
Pt4 0.869 0.369 0.500

No. 3
# PrAlCu2Pt4 | Alexandria | PBE | relaxed
# * energy of formation: -5.22 eV per formula unit
# * Fermi-level density of states: 3.0 states/eV/cell
# * symmetry: R-3m, No. 166
# * size of the total moment: 0.00 μB/cell
# * crystal system: trigonal
data_PrAlCu2Pt4
_chemical_formula_sum 'Pr1 Al1 Cu2 Pt4'
_cell_length_a 8.788
_cell_length_b 8.788
_cell_length_c 8.788
_cell_angle_alpha 28.50
_cell_angle_beta 28.50
_cell_angle_gamma 28.50
_symmetry_space_group_name_H-M 'P 1'
_symmetry_Int_Tables_number 1
_symmetry_space_group_name_Hall 'P 1'
loop_
_atom_site_label
_atom_site_fract_x
_atom_site_fract_y
_atom_site_fract_z
Pr1 0.000 0.000 0.000
Al1 0.500 0.500 0.500
Cu1 0.244 0.244 0.244
Cu2 0.756 0.756 0.756
Pt1 0.132 0.132 0.132
Pt2 0.403 0.403 0.403
Pt3 0.597 0.597 0.597
Pt4 0.868 0.868 0.868

No. 4
# CrCu2Te | Alexandria | PBE | relaxed
# * Fermi-level density of states: 2.0 states/eV/cell
# * symmetry: R3m, No. 160
# * size of the total moment: 3.55 μB/cell
# * formation energy from raw total energies: 0.28 eV per atom
# * crystal system: trigonal
data_CrCu2Te
_chemical_formula_sum 'Cr1 Cu2 Te1'
_cell_length_a 5.358
_cell_length_b 5.358
_cell_length_c 5.358
_cell_angle_alpha 45.08
_cell_angle_beta 45.08
_cell_angle_gamma 45.08
_symmetry_space_group_name_H-M 'P 1'
_symmetry_Int_Tables_number 1
_symmetry_space_group_name_Hall 'P 1'
loop_
_atom_site_label
_atom_site_fract_x
_atom_site_fract_y
_atom_site_fract_z
Cr1 0.000 0.000 0.000
Cu1 0.216 0.216 0.216
Cu2 0.591 0.591 0.591
Te1 0.778 0.778 0.778

No. 5
# ZrUB | Alexandria | PBE | relaxed
# * energy of formation: 1.27 eV per formula unit
# * Fermi-level density of states: 9.3 states/eV/cell
# * symmetry: Immm, No. 71
# * size of the total moment: 0.01 μB/cell
# * crystal system: orthorhombic
data_ZrUB
_chemical_formula_sum 'Zr2 U2 B2'
_cell_length_a 7.961
_cell_length_b 7.961
_cell_length_c 7.961
_cell_angle_alpha 159.00
_cell_angle_beta 144.66
_cell_angle_gamma 41.47
_symmetry_space_group_name_H-M 'P 1'
_symmetry_Int_Tables_number 1
_symmetry_space_group_name_Hall 'P 1'
loop_
_atom_site_label
_atom_site_fract_x
_atom_site_fract_y
_atom_site_fract_z
Zr1 0.186 0.186 0.000
Zr2 0.814 0.814 0.000
U1 0.249 0.500 0.749
U2 0.751 0.500 0.251
B1 0.348 0.348 0.000
B2 0.652 0.652 0.000

No. 6
# MnAl2CrH | Alexandria | PBE | relaxed
# * Fermi-level density of states: 2.2 states/eV/cell
# * symmetry: P4/mmm, No. 123
# * size of the total moment: 4.13 μB/cell
# * uncorrected energy: -5.944 eV/atom
# * crystal system: tetragonal
data_MnAl2CrH
_chemical_formula_sum 'Mn1 Al2 Cr1 H1'
_cell_length_a 4.104
_cell_length_b 4.104
_cell_length_c 3.316
_cell_angle_alpha 90.00
_cell_angle_beta 90.00
_cell_angle_gamma 90.00
_symmetry_space_group_name_H-M 'P 1'
_symmetry_Int_Tables_number 1
_symmetry_space_group_name_Hall 'P 1'
loop_
_atom_site_label
_atom_site_fract_x
_atom_site_fract_y
_atom_site_fract_z
Mn1 0.000 0.000 0.000
Al1 0.000 0.500 0.500
Al2 0.500 0.000 0.500
Cr1 0.500 0.500 0.000
H1 0.000 0.000 0.500

No. 7
# Cu2HgPO6 | Alexandria | PBE | relaxed
# * Fermi-level density of states: 7.6 states/eV/cell
# * symmetry: C2/c, No. 15
# * size of the total moment: 6.07 μB/cell
# * formation energy from raw total energies: -0.92 eV per atom
# * crystal system: monoclinic
data_Cu2HgPO6
_chemical_formula_sum 'Cu4 Hg2 P2 O12'
_cell_length_a 7.419
_cell_length_b 7.419
_cell_length_c 5.685
_cell_angle_alpha 105.84
_cell_angle_beta 105.84
_cell_angle_gamma 107.00
_symmetry_space_group_name_H-M 'P 1'
_symmetry_Int_Tables_number 1
_symmetry_space_group_name_Hall 'P 1'
loop_
_atom_site_label
_atom_site_fract_x
_atom_site_fract_y
_atom_site_fract_z
Cu1 0.031 0.200 0.139
Cu2 0.200 0.031 0.639
Cu3 0.800 0.969 0.361
Cu4 0.969 0.800 0.861
Hg1 0.395 0.605 0.750
Hg2 0.605 0.395 0.250
P1 0.310 0.690 0.250
P2 0.690 0.310 0.750
O1 0.070 0.191 0.491
O2 0.149 0.660 0.994
O3 0.191 0.070 0.991
O4 0.277 0.485 0.312
O5 0.340 0.851 0.506
O6 0.485 0.277 0.812
O7 0.515 0.723 0.188
O8 0.660 0.149 0.494
O9 0.723 0.515 0.688
O10 0.809 0.930 0.009
O11 0.851 0.340 0.006
O12 0.930 0.809 0.509

No. 8
# GeBSb2 | Alexandria | PBE | relaxed
# * Fermi-level density of states: 4.2 states/eV/cell
# * symmetry: I-42d, No. 122
# * size of the total moment: 0.00 μB/cell
# * formation energy from raw total energies: 0.42 eV per atom
# * crystal system: tetragonal
# * ΔE to the lowest computed polymorph: 0 meV per atom
data_GeBSb2
_chemical_formula_sum 'Ge2 B2 Sb4'
_cell_length_a 6.836
_cell_length_b 6.836
_cell_length_c 6.836
_cell_angle_alpha 127.62
_cell_angle_beta 127.62
_cell_angle_gamma 77.25
_symmetry_space_group_name_H-M 'P 1'
_symmetry_Int_Tables_number 1
_symmetry_space_group_name_Hall 'P 1'
loop_
_atom_site_label
_atom_site_fract_x
_atom_site_fract_y
_atom_site_fract_z
Ge1 0.000 0.000 0.000
Ge2 0.750 0.250 0.500
B1 0.250 0.750 0.500
B2 0.500 0.500 0.000
Sb1 0.189 0.625 0.064
Sb2 0.375 0.439 0.564
Sb3 0.561 0.125 0.936
Sb4 0.875 0.811 0.436

No. 9
# ScRuBr2 | Alexandria | PBE | relaxed
# * Fermi-level density of states: 2.1 states/eV/cell
# * symmetry: R3m, No. 160
# * size of the total moment: 1.37 μB/cell
# * formation energy from raw total energies: -0.44 eV per atom
# * crystal system: trigonal
# * ΔE to the lowest computed polymorph: 125 meV per atom
data_ScRuBr2
_chemical_formula_sum 'Sc1 Ru1 Br2'
_cell_length_a 9.549
_cell_length_b 9.549
_cell_length_c 9.549
_cell_angle_alpha 20.98
_cell_angle_beta 20.98
_cell_angle_gamma 20.98
_symmetry_space_group_name_H-M 'P 1'
_symmetry_Int_Tables_number 1
_symmetry_space_group_name_Hall 'P 1'
loop_
_atom_site_label
_atom_site_fract_x
_atom_site_fract_y
_atom_site_fract_z
Sc1 0.000 0.000 0.000
Ru1 0.264 0.264 0.264
Br1 0.535 0.535 0.535
Br2 0.733 0.733 0.733

No. 10
# BaZrCl2 | Alexandria | PBE | relaxed
# * Fermi-level density of states: 2.6 states/eV/cell
# * symmetry: Pmmm, No. 47
# * size of the total moment: 1.05 μB/cell
# * formation energy from raw total energies: -1.03 eV per atom
# * crystal system: orthorhombic
# * ΔE to the lowest computed polymorph: 33 meV per atom
data_BaZrCl2
_chemical_formula_sum 'Ba1 Zr1 Cl2'
_cell_length_a 3.653
_cell_length_b 4.459
_cell_length_c 6.507
_cell_angle_alpha 90.00
_cell_angle_beta 90.00
_cell_angle_gamma 90.00
_symmetry_space_group_name_H-M 'P 1'
_symmetry_Int_Tables_number 1
_symmetry_space_group_name_Hall 'P 1'
loop_
_atom_site_label
_atom_site_fract_x
_atom_site_fract_y
_atom_site_fract_z
Ba1 0.000 0.000 0.000
Zr1 0.500 0.000 0.500
Cl1 0.500 0.500 0.260
Cl2 0.500 0.500 0.740

No. 11
# Tl2PbBr | Alexandria | PBE | relaxed
# * Fermi-level density of states: 1.3 states/eV/cell
# * symmetry: Cm, No. 8
# * size of the total moment: 0.00 μB/cell
# * formation energy from raw total energies: -0.28 eV per atom
# * crystal system: monoclinic
# * ΔE to the lowest computed polymorph: 0 meV per atom
data_Tl2PbBr
_chemical_formula_sum 'Tl2 Pb1 Br1'
_cell_length_a 6.451
_cell_length_b 6.451
_cell_length_c 5.702
_cell_angle_alpha 90.11
_cell_angle_beta 90.11
_cell_angle_gamma 32.88
_symmetry_space_group_name_H-M 'P 1'
_symmetry_Int_Tables_number 1
_symmetry_space_group_name_Hall 'P 1'
loop_
_atom_site_label
_atom_site_fract_x
_atom_site_fract_y
_atom_site_fract_z
Tl1 0.000 0.000 0.000
Tl2 0.737 0.737 0.497
Pb1 0.266 0.266 0.997
Br1 0.481 0.481 0.500

No. 12
# TbGaS | Alexandria | PBE | relaxed
# * Fermi-level density of states: 1.2 states/eV/cell
# * symmetry: R-3m, No. 166
# * size of the total moment: 0.00 μB/cell
# * formation energy from raw total energies: -1.19 eV per atom
# * crystal system: trigonal
data_TbGaS
_chemical_formula_sum 'Tb2 Ga2 S2'
_cell_length_a 10.686
_cell_length_b 10.686
_cell_length_c 10.686
_cell_angle_alpha 22.43
_cell_angle_beta 22.43
_cell_angle_gamma 22.43
_symmetry_space_group_name_H-M 'P 1'
_symmetry_Int_Tables_number 1
_symmetry_space_group_name_Hall 'P 1'
loop_
_atom_site_label
_atom_site_fract_x
_atom_site_fract_y
_atom_site_fract_z
Tb1 0.077 0.077 0.077
Tb2 0.923 0.923 0.923
Ga1 0.339 0.339 0.339
Ga2 0.661 0.661 0.661
S1 0.220 0.220 0.220
S2 0.780 0.780 0.780